Arrangement i

A relaxed structure of NaPm2Pd. Source: the Alexandria database, functional PBE-GGA.

It has space group R-3m (No. 166, hexagonal axes), with a = 3.4062 Å, b = 3.4062 Å, c = 35.4645 Å, α = 90.00°, β = 90.00° and γ = 120.00°. The distinct sites, in fractional coordinates, are Na at (0.0000, 0.0000, 0.0000), Pm at (0.0000, 0.0000, 0.4250) and Pd at (0.0000, 0.0000, 0.5000).

The value obtained for the mass density is 5.9 g/cm3. The value obtained for the total moment is 0.000 μB/f.u.

---

Arrangement ii

A relaxed structure of NaPm2Pd. Source: the Alexandria database, functional PBE-GGA.

It has space group P4/mmm (No. 123), with a = 3.585 Å, b = 3.585 Å, c = 9.338 Å, α = 90.00°, β = 90.00° and γ = 90.00°. The distinct sites, in fractional coordinates, are Na at (0.000, 0.000, 0.000), Pm at (0.500, 0.500, 0.316) and Pd at (0.000, 0.000, 0.500).

The value obtained for the mass density is 5.8 g/cm3. The value obtained for the total moment is 0.000 μB/f.u.

---

arrangement ii has the most favorable energy; the next structure is 458 meV/atom above.

---

Arrangement i

A relaxed structure of NaPr2Pd9. Source: the Alexandria database, functional PBE-GGA.

It has space group P4/mmm (No. 123), with a = 4.216 Å, b = 4.216 Å, c = 12.183 Å, α = 90.00°, β = 90.00° and γ = 90.00°. The distinct sites, in fractional coordinates, are Na at (0.000, 0.000, 0.000), Pr at (0.000, 0.000, 0.325), Pd at (0.000, 0.500, 0.157), Pd at (0.000, 0.500, 0.500), Pd at (0.500, 0.500, 0.000) and Pd at (0.500, 0.500, 0.328).

The value obtained for the mass density is 9.7 g/cm3. The value obtained for the total moment is 0.000 μB/f.u.

---

Arrangement ii

A relaxed structure of NaPr2Pd9. Source: the Alexandria database, functional PBE-GGA.

It has space group R-3m (No. 166, hexagonal axes), with a = 5.4582 Å, b = 5.4582 Å, c = 26.8550 Å, α = 90.00°, β = 90.00° and γ = 120.00°. The distinct sites, in fractional coordinates, are Na at (0.0000, 0.0000, 0.0000), Pr at (0.0000, 0.0000, 0.1354), Pd at (0.0000, 0.0000, 0.3331), Pd at (0.0000, 0.0000, 0.5000) and Pd at (0.0034, 0.5017, 0.9155).

The value obtained for the mass density is 9.1 g/cm3. The value obtained for the total moment is 0.000 μB/f.u.

---

arrangement i has the most favorable energy; the next structure is 11 meV/atom above.

---

Arrangement i

A relaxed structure of NaPrPd2. Source: the Alexandria database, functional PBE-GGA.

It has space group Fm-3m (No. 225), with a = 7.054 Å, b = 7.054 Å, c = 7.054 Å, α = 90.00°, β = 90.00° and γ = 90.00°. The distinct sites, in fractional coordinates, are Na at (0.000, 0.000, 0.000), Pr at (0.000, 0.000, 0.500) and Pd at (0.250, 0.250, 0.250).

The value obtained for the mass density is 7.1 g/cm3. The value obtained for the total moment is 0.000 μB/f.u.

---

Arrangement ii

A relaxed structure of NaPrPd2. Source: the Alexandria database, functional PBE-GGA.

It has space group P4/mmm (No. 123), with a = 3.699 Å, b = 3.699 Å, c = 6.341 Å, α = 90.00°, β = 90.00° and γ = 90.00°. The distinct sites, in fractional coordinates, are Na at (0.000, 0.000, 0.000), Pr at (0.000, 0.000, 0.500) and Pd at (0.500, 0.500, 0.248).

The value obtained for the mass density is 7.2 g/cm3. The value obtained for the total moment is 0.000 μB/f.u.

---

arrangement ii has the most favorable energy; the next structure is 11 meV/atom above.

---

Arrangement i

A relaxed structure of NaPdPt. Source: the Alexandria database, functional PBE-GGA.

It has space group Fddd (No. 70, origin choice 2), with a = 5.348 Å, b = 9.174 Å, c = 19.900 Å, α = 90.00°, β = 90.00° and γ = 90.00°. The distinct sites, in fractional coordinates, are Na at (0.125, 0.300, 0.125), Pd at (0.125, 0.125, 0.514) and Pt at (0.125, 0.125, 0.001).

The value obtained for the mass density is 8.8 g/cm3. The value obtained for the total moment is 0.000 μB/f.u.

---

Arrangement ii

A relaxed structure of NaPdPt. Source: the Alexandria database, functional PBE-GGA.

It has space group Imma (No. 74), with a = 5.333 Å, b = 5.407 Å, c = 7.591 Å, α = 90.00°, β = 90.00° and γ = 90.00°. The distinct sites, in fractional coordinates, are Na at (0.000, 0.250, 0.124), Pd at (0.000, 0.000, 0.500) and Pt at (0.250, 0.250, 0.750).

The value obtained for the mass density is 9.8 g/cm3. The value obtained for the total moment is 0.000 μB/f.u.

---

Arrangement iii

A relaxed structure of NaPdPt. Source: the Alexandria database, functional PBE-GGA.

It has space group P-1 (No. 2), with a = 4.195 Å, b = 4.721 Å, c = 5.836 Å, α = 80.70°, β = 89.94° and γ = 63.69°. The distinct sites, in fractional coordinates, are Na at (0.169, 0.163, 0.072), Pd at (0.491, 0.519, 0.727) and Pt at (0.161, 0.179, 0.560).

The value obtained for the mass density is 10.6 g/cm3. The value obtained for the total moment is 0.000 μB/f.u.

---

Arrangement iv

A relaxed structure of NaPdPt. Source: the Alexandria database, functional PBE-GGA.

It has space group P3m1 (No. 156), with a = 2.7902 Å, b = 2.7902 Å, c = 7.3812 Å, α = 90.00°, β = 90.00° and γ = 120.00°. The distinct sites, in fractional coordinates, are Na at (0.0000, 0.0000, 0.0000), Pd at (0.3333, 0.6667, 0.6645) and Pt at (0.6667, 0.3333, 0.3371).

The value obtained for the mass density is 10.8 g/cm3. The value obtained for the total moment is 0.000 μB/f.u.

---

arrangement ii has the most favorable energy; the next structure is 129 meV/atom above.

---

Arrangement i

A relaxed structure of Na2PdPt2. Source: the Alexandria database, functional PBE-GGA.

It has space group C2/m (No. 12), with a = 8.242 Å, b = 4.642 Å, c = 5.782 Å, α = 90.00°, β = 119.65° and γ = 90.00°. The distinct sites, in fractional coordinates, are Na at (0.161, 0.000, 0.003), Pd at (0.000, 0.500, 0.500) and Pt at (0.174, 0.000, 0.513).

The value obtained for the mass density is 9.4 g/cm3. The value obtained for the total moment is 0.000 μB/f.u.

---

Arrangement ii

A relaxed structure of Na2PdPt2. Source: the Alexandria database, functional PBE-GGA.

It has space group P4/mbm (No. 127), with a = 6.611 Å, b = 6.611 Å, c = 4.659 Å, α = 90.00°, β = 90.00° and γ = 90.00°. The distinct sites, in fractional coordinates, are Na at (0.174, 0.326, 0.000), Pd at (0.000, 0.000, 0.500) and Pt at (0.133, 0.633, 0.500).

The value obtained for the mass density is 8.8 g/cm3. The value obtained for the total moment is 0.000 μB/f.u.

---

arrangement i has the most favorable energy; the next structure is 126 meV/atom above.

---

Arrangement i

A relaxed structure of NaPdPt3. Source: the Alexandria database, functional PBE-GGA.

It has space group Pm-3m (No. 221), with a = 4.568 Å, b = 4.568 Å, c = 4.568 Å, α = 90.00°, β = 90.00° and γ = 90.00°. The distinct sites, in fractional coordinates, are Na at (0.000, 0.000, 0.000), Pd at (0.500, 0.500, 0.500) and Pt at (0.000, 0.000, 0.500).

The value obtained for the mass density is 12.4 g/cm3. The value obtained for the total moment is 0.133 μB/f.u.

---

Arrangement ii

A relaxed structure of NaPdPt3. Source: the Alexandria database, functional PBE-GGA.

It has space group Pm-3m (No. 221), with a = 4.912 Å, b = 4.912 Å, c = 4.912 Å, α = 90.00°, β = 90.00° and γ = 90.00°. The distinct sites, in fractional coordinates, are Na at (0.000, 0.000, 0.000), Pd at (0.500, 0.500, 0.500) and Pt at (0.000, 0.500, 0.500).

The value obtained for the mass density is 10.0 g/cm3. The value obtained for the total moment is 0.000 μB/f.u.

---

arrangement ii has the most favorable energy; the next structure is 581 meV/atom above.